(1)
DFT (PBE) results for an optimized crystal structure of Li2U3Te6.

Total magnetization, μB/f.u.: 8.00
Uncorrected formation energy, meV per atom: -729.5
Calculated volume, Å³/f.u.: 343.2

Lattice parameters (Å, degrees): 7.435 7.435 7.583 99.37 99.37 120.01
Fractional coordinates of all 11 atoms:
Li1 0.167 0.833 0.000
Li2 0.833 0.167 0.000
U1 0.000 0.000 0.500
U2 0.334 0.666 0.500
U3 0.666 0.334 0.500
Te1 0.086 0.419 0.757
Te2 0.248 0.248 0.241
Te3 0.419 0.086 0.757
Te4 0.581 0.914 0.243
Te5 0.752 0.752 0.759
Te6 0.914 0.581 0.243

(2)
DFT (PBE) results for an optimized crystal structure of LiU2Te3.

Total magnetization, μB/f.u.: 7.00
Uncorrected formation energy, meV per atom: -598.4
Calculated volume, Å³/f.u.: 176.4

Lattice parameters (Å, degrees): 8.271 8.271 8.271 54.92 54.92 54.92
Fractional coordinates of all 12 atoms:
Li1 0.000 0.000 0.000
Li2 0.500 0.500 0.500
U1 0.178 0.178 0.178
U2 0.322 0.322 0.322
U3 0.678 0.678 0.678
U4 0.822 0.822 0.822
Te1 0.111 0.750 0.389
Te2 0.250 0.611 0.889
Te3 0.389 0.111 0.750
Te4 0.611 0.889 0.250
Te5 0.750 0.389 0.111
Te6 0.889 0.250 0.611

(3)
DFT (PBE) results for an optimized crystal structure of Li3UTe4.

Total magnetization, μB/f.u.: 1.00
Uncorrected formation energy, meV per atom: -777.9
Calculated volume, Å³/f.u.: 216.9
Distance to the lowest polymorph of the same formula, meV per atom: 22

Lattice parameters (Å, degrees): 11.876 6.043 6.045 90.00 90.00 90.00
Fractional coordinates of all 16 atoms:
Li1 0.000 0.248 0.000
Li2 0.250 0.249 0.500
Li3 0.250 0.751 0.000
Li4 0.500 0.752 0.500
Li5 0.750 0.249 0.500
Li6 0.750 0.751 0.000
U1 0.000 0.750 0.499
U2 0.500 0.250 0.999
Te1 0.000 0.249 0.499
Te2 0.000 0.749 0.999
Te3 0.245 0.750 0.499
Te4 0.255 0.250 0.999
Te5 0.500 0.251 0.499
Te6 0.500 0.751 0.999
Te7 0.745 0.250 0.999
Te8 0.755 0.750 0.499

(4)
DFT (PBE) results for an optimized crystal structure of LiU2Te4.

Total magnetization, μB/f.u.: 5.00
Uncorrected formation energy, meV per atom: -709.5
Calculated volume, Å³/f.u.: 227.8

Lattice parameters (Å, degrees): 8.388 8.388 7.399 116.07 116.07 29.41
Fractional coordinates of all 7 atoms:
Li1 0.000 0.000 0.000
U1 0.254 0.254 0.258
U2 0.746 0.746 0.742
Te1 0.120 0.120 0.449
Te2 0.376 0.376 0.038
Te3 0.624 0.624 0.962
Te4 0.880 0.880 0.551

(5)
DFT (PBE) results for an optimized crystal structure of Li4UTe4.

Total magnetization, μB/f.u.: 2.00
Uncorrected formation energy, meV per atom: -704.3
Calculated volume, Å³/f.u.: 304.1

Lattice parameters (Å, degrees): 8.089 8.089 8.089 129.88 129.88 73.59
Fractional coordinates of all 9 atoms:
Li1 0.000 0.500 0.500
Li2 0.231 0.231 0.000
Li3 0.500 0.000 0.500
Li4 0.769 0.769 0.000
U1 0.500 0.500 0.000
Te1 0.129 0.618 0.000
Te2 0.382 0.382 0.511
Te3 0.618 0.129 0.000
Te4 0.871 0.871 0.489

(6)
DFT (PBE) results for an optimized crystal structure of LiUTe2.

Total magnetization, μB/f.u.: 3.00
Uncorrected formation energy, meV per atom: -745.3
Calculated volume, Å³/f.u.: 111.2

Lattice parameters (Å, degrees): 7.910 7.910 7.910 30.23 30.23 30.23
Fractional coordinates of all 4 atoms:
Li1 0.000 0.000 0.000
U1 0.832 0.832 0.832
Te1 0.409 0.409 0.409
Te2 0.587 0.587 0.587

(7)
DFT (PBE) results for an optimized crystal structure of Li4U3Te8.

Total magnetization, μB/f.u.: 6.00
Uncorrected formation energy, meV per atom: -697.4
Calculated volume, Å³/f.u.: 447.8
Distance to the lowest polymorph of the same formula, meV per atom: 48

Lattice parameters (Å, degrees): 8.525 8.525 8.512 118.83 118.83 91.27
Fractional coordinates of all 15 atoms:
Li1 0.000 0.000 0.000
Li2 0.000 0.500 0.000
Li3 0.500 0.000 0.000
Li4 0.500 0.500 0.500
U1 0.000 0.500 0.500
U2 0.500 0.000 0.500
U3 0.500 0.500 0.000
Te1 0.238 0.238 0.499
Te2 0.245 0.755 0.000
Te3 0.252 0.748 0.500
Te4 0.264 0.264 0.017
Te5 0.736 0.736 0.983
Te6 0.748 0.252 0.500
Te7 0.755 0.245 0.000
Te8 0.762 0.762 0.501

(8)
DFT (PBE) results for an optimized crystal structure of Li2UTe3.

Total magnetization, μB/f.u.: 2.00
Uncorrected formation energy, meV per atom: -822.2
Calculated volume, Å³/f.u.: 169.4
Distance to the lowest polymorph of the same formula, meV per atom: 0

Lattice parameters (Å, degrees): 14.342 13.669 7.449 79.64 69.64 30.72
Fractional coordinates of all 24 atoms:
Li1 0.040 0.040 0.210
Li2 0.129 0.129 0.621
Li3 0.210 0.210 0.040
Li4 0.379 0.379 0.871
Li5 0.621 0.621 0.129
Li6 0.790 0.790 0.960
Li7 0.871 0.871 0.379
Li8 0.960 0.960 0.790
U1 0.292 0.292 0.458
U2 0.458 0.458 0.292
U3 0.542 0.542 0.708
U4 0.708 0.708 0.542
Te1 0.044 0.539 0.207
Te2 0.123 0.627 0.627
Te3 0.207 0.711 0.044
Te4 0.289 0.793 0.461
Te5 0.373 0.877 0.877
Te6 0.461 0.956 0.289
Te7 0.539 0.044 0.711
Te8 0.627 0.123 0.123
Te9 0.711 0.207 0.539
Te10 0.793 0.289 0.956
Te11 0.877 0.373 0.373
Te12 0.956 0.461 0.793

(9)
DFT (PBE) results for an optimized crystal structure of Li3UV2Te6.

Total magnetization, μB/f.u.: 7.00
Uncorrected formation energy, meV per atom: -647.9
Calculated volume, Å³/f.u.: 303.6

Lattice parameters (Å, degrees): 7.076 7.076 7.386 99.25 99.25 119.93
Fractional coordinates of all 12 atoms:
Li1 0.000 0.000 0.000
Li2 0.344 0.656 0.000
Li3 0.656 0.344 0.000
U1 0.500 0.500 0.500
V1 0.168 0.832 0.500
V2 0.832 0.168 0.500
Te1 0.063 0.420 0.261
Te2 0.222 0.222 0.738
Te3 0.420 0.063 0.261
Te4 0.580 0.937 0.739
Te5 0.778 0.778 0.262
Te6 0.937 0.580 0.739

(10)
DFT (PBE) results for an optimized crystal structure of Li3Y3UTe8.

Total magnetization, μB/f.u.: 2.00
Uncorrected formation energy, meV per atom: -1154.0
Calculated volume, Å³/f.u.: 463.2

Lattice parameters (Å, degrees): 8.673 8.673 8.673 60.19 60.19 60.19
Fractional coordinates of all 15 atoms:
Li1 0.000 0.500 0.500
Li2 0.500 0.000 0.500
Li3 0.500 0.500 0.000
Y1 0.000 0.000 0.500
Y2 0.000 0.500 0.000
Y3 0.500 0.000 0.000
U1 0.500 0.500 0.500
Te1 0.250 0.250 0.748
Te2 0.250 0.748 0.250
Te3 0.252 0.252 0.252
Te4 0.252 0.750 0.750
Te5 0.748 0.250 0.250
Te6 0.748 0.748 0.748
Te7 0.750 0.252 0.750
Te8 0.750 0.750 0.252

(11)
DFT (PBE) results for an optimized crystal structure of Li3Y2UTe6.

Total magnetization, μB/f.u.: 2.96
Uncorrected formation energy, meV per atom: -1109.3
Calculated volume, Å³/f.u.: 348.2

Lattice parameters (Å, degrees): 7.531 7.531 7.521 99.60 99.60 120.00
Fractional coordinates of all 12 atoms:
Li1 0.000 0.000 0.000
Li2 0.333 0.667 0.000
Li3 0.667 0.333 0.000
Y1 0.167 0.833 0.500
Y2 0.833 0.167 0.500
U1 0.500 0.500 0.500
Te1 0.078 0.414 0.242
Te2 0.250 0.250 0.758
Te3 0.414 0.078 0.242
Te4 0.586 0.922 0.758
Te5 0.750 0.750 0.242
Te6 0.922 0.586 0.758

(12)
DFT (PBE) results for an optimized crystal structure of Li2YUTe4.

Total magnetization, μB/f.u.: 3.00
Uncorrected formation energy, meV per atom: -1017.3
Calculated volume, Å³/f.u.: 231.1

Lattice parameters (Å, degrees): 7.514 4.330 7.534 90.00 109.43 90.00
Fractional coordinates of all 8 atoms:
Li1 0.000 0.000 0.000
Li2 0.500 0.500 0.000
Y1 0.000 0.500 0.500
U1 0.500 0.000 0.500
Te1 0.244 0.500 0.241
Te2 0.251 0.000 0.758
Te3 0.749 0.000 0.242
Te4 0.756 0.500 0.759

(13)
DFT (PBE) results for an optimized crystal structure of Li4Y3UTe8.

Total magnetization, μB/f.u.: 2.96
Uncorrected formation energy, meV per atom: -1158.2
Calculated volume, Å³/f.u.: 462.5

Lattice parameters (Å, degrees): 8.674 8.674 8.674 60.10 60.10 60.10
Fractional coordinates of all 16 atoms:
Li1 0.000 0.000 0.000
Li2 0.000 0.500 0.500
Li3 0.500 0.000 0.500
Li4 0.500 0.500 0.000
Y1 0.000 0.000 0.500
Y2 0.000 0.500 0.000
Y3 0.500 0.000 0.000
U1 0.500 0.500 0.500
Te1 0.246 0.246 0.750
Te2 0.246 0.750 0.246
Te3 0.250 0.754 0.754
Te4 0.252 0.252 0.252
Te5 0.748 0.748 0.748
Te6 0.750 0.246 0.246
Te7 0.754 0.250 0.754
Te8 0.754 0.754 0.250

(14)
DFT (PBE) results for an optimized crystal structure of Li3Zr3UTe8.

Total magnetization, μB/f.u.: 2.89
Uncorrected formation energy, meV per atom: -862.7
Calculated volume, Å³/f.u.: 412.9

Lattice parameters (Å, degrees): 8.600 8.600 8.600 56.46 56.46 56.46
Fractional coordinates of all 15 atoms:
Li1 0.000 0.500 0.500
Li2 0.500 0.000 0.500
Li3 0.500 0.500 0.000
Zr1 0.000 0.000 0.500
Zr2 0.000 0.500 0.000
Zr3 0.500 0.000 0.000
U1 0.500 0.500 0.500
Te1 0.238 0.759 0.759
Te2 0.241 0.241 0.762
Te3 0.241 0.762 0.241
Te4 0.250 0.250 0.250
Te5 0.750 0.750 0.750
Te6 0.759 0.238 0.759
Te7 0.759 0.759 0.238
Te8 0.762 0.241 0.241

(15)
DFT (PBE) results for an optimized crystal structure of Li2ZrUTe4.

Total magnetization, μB/f.u.: 3.38
Uncorrected formation energy, meV per atom: -830.1
Calculated volume, Å³/f.u.: 215.4

Lattice parameters (Å, degrees): 7.176 4.144 7.618 90.00 108.06 90.00
Fractional coordinates of all 8 atoms:
Li1 0.000 0.000 0.000
Li2 0.500 0.500 0.000
Zr1 0.000 0.500 0.500
U1 0.500 0.000 0.500
Te1 0.235 0.500 0.240
Te2 0.240 0.000 0.752
Te3 0.760 0.000 0.248
Te4 0.765 0.500 0.760

(16)
DFT (PBE) results for an optimized crystal structure of Li3ZrU3Te8.

Total magnetization, μB/f.u.: 9.00
Uncorrected formation energy, meV per atom: -787.3
Calculated volume, Å³/f.u.: 447.0

Lattice parameters (Å, degrees): 8.720 8.720 8.720 57.97 57.97 57.97
Fractional coordinates of all 15 atoms:
Li1 0.000 0.500 0.500
Li2 0.500 0.000 0.500
Li3 0.500 0.500 0.000
Zr1 0.500 0.500 0.500
U1 0.000 0.000 0.500
U2 0.000 0.500 0.000
U3 0.500 0.000 0.000
Te1 0.255 0.255 0.255
Te2 0.255 0.255 0.738
Te3 0.255 0.738 0.255
Te4 0.262 0.745 0.745
Te5 0.738 0.255 0.255
Te6 0.745 0.262 0.745
Te7 0.745 0.745 0.262
Te8 0.745 0.745 0.745

(17)
DFT (PBE) results for an optimized crystal structure of Li4ZrU3Te8.

Total magnetization, μB/f.u.: 9.84
Uncorrected formation energy, meV per atom: -793.6
Calculated volume, Å³/f.u.: 445.3

Lattice parameters (Å, degrees): 8.717 8.717 8.717 57.86 57.86 57.86
Fractional coordinates of all 16 atoms:
Li1 0.000 0.000 0.000
Li2 0.000 0.500 0.500
Li3 0.500 0.000 0.500
Li4 0.500 0.500 0.000
Zr1 0.500 0.500 0.500
U1 0.000 0.000 0.500
U2 0.000 0.500 0.000
U3 0.500 0.000 0.000
Te1 0.253 0.253 0.736
Te2 0.253 0.736 0.253
Te3 0.255 0.255 0.255
Te4 0.264 0.747 0.747
Te5 0.736 0.253 0.253
Te6 0.745 0.745 0.745
Te7 0.747 0.264 0.747
Te8 0.747 0.747 0.264

(18)
DFT (PBE) results for an optimized crystal structure of LiVTe3.

Total magnetization, μB/f.u.: 1.11
Uncorrected formation energy, meV per atom: -328.6
Calculated volume, Å³/f.u.: 147.1
Distance to the lowest polymorph of the same formula, meV per atom: 0

Lattice parameters (Å, degrees): 7.537 7.537 7.883 96.57 96.57 41.47
Fractional coordinates of all 10 atoms:
Li1 0.133 0.133 0.272
Li2 0.867 0.867 0.728
V1 0.351 0.351 0.125
V2 0.649 0.649 0.875
Te1 0.180 0.180 0.928
Te2 0.326 0.326 0.439
Te3 0.453 0.453 0.820
Te4 0.547 0.547 0.180
Te5 0.674 0.674 0.561
Te6 0.820 0.820 0.072

(19)
DFT (PBE) results for an optimized crystal structure of Li2V2Te.

Total magnetization, μB/f.u.: 0.00
Uncorrected formation energy, meV per atom: 483.2
Calculated volume, Å³/f.u.: 100.9
Distance to the lowest polymorph of the same formula, meV per atom: 251

Lattice parameters (Å, degrees): 7.012 7.012 7.012 147.18 147.18 47.09
Fractional coordinates of all 5 atoms:
Li1 0.250 0.750 0.500
Li2 0.750 0.250 0.500
V1 0.071 0.071 0.000
V2 0.929 0.929 0.000
Te1 0.500 0.500 0.000

(20)
DFT (PBE) results for an optimized crystal structure of Li2V2Te.

Total magnetization, μB/f.u.: 0.00
Uncorrected formation energy, meV per atom: 232.2
Calculated volume, Å³/f.u.: 93.0
Distance to the lowest polymorph of the same formula, meV per atom: 0

Lattice parameters (Å, degrees): 6.609 6.609 4.259 90.00 90.00 90.00
Fractional coordinates of all 10 atoms:
Li1 0.186 0.314 0.000
Li2 0.314 0.814 0.000
Li3 0.686 0.186 0.000
Li4 0.814 0.686 0.000
V1 0.098 0.598 0.500
V2 0.402 0.098 0.500
V3 0.598 0.902 0.500
V4 0.902 0.402 0.500
Te1 0.000 0.000 0.500
Te2 0.500 0.500 0.500